Compound: TbEr4In
Source: Alexandria via LeMat-Bulk
Functional: PBE
Structure: optimized geometry

Results
polymorph energy (0 for the lowest one): 0.13 eV/f.u.
ΔH_f (0 K): -129 meV per atom
crystal system: orthorhombic

a = 5.3477 Å, b = 10.9858 Å, c = 6.6025 Å
α = 90.00°, β = 113.89°, γ = 90.00°
Last column: nearest neighbours and their distance in Å.
Sites, in units of the cell vectors:
Tb1 0.6785 0.7285 0.3571  1 In 3.18, 6 Er 3.27-3.55
Tb2 0.3215 0.2285 0.6429  1 In 3.18, 6 Er 3.27-3.55
Er1 0.0013 0.1988 0.0026  2 In 3.30, 4 Er 3.43-3.50, 2 Tb 3.46
Er2 0.9987 0.6988 0.9974  2 In 3.30, 4 Er 3.43-3.50, 2 Tb 3.46
Er3 0.4794 0.9450 0.9588  2 In 3.11, 1 Tb 3.38, 1 Er 3.39
Er4 0.5206 0.4450 0.0412  2 In 3.11, 1 Tb 3.38, 1 Er 3.39
Er5 0.8216 0.4465 0.6433  2 In 3.37, 8 Er 3.48-3.63, 3 Tb 3.55-3.59
Er6 0.1784 0.9465 0.3567  2 In 3.37, 8 Er 3.48-3.63, 3 Tb 3.55-3.59
Er7 0.6764 0.1646 0.3527  1 In 3.15, 2 Tb 3.27, 3 Er 3.39-3.43
Er8 0.3236 0.6646 0.6473  1 In 3.15, 2 Tb 3.27, 3 Er 3.39-3.43
In1 0.8487 0.9500 0.6974  7 Er 3.11-3.37, 1 Tb 3.18
In2 0.1513 0.4500 0.3026  7 Er 3.11-3.37, 1 Tb 3.18


Compound: CdPbAu2
Source: Alexandria via LeMat-Bulk
Functional: PBE
Structure: optimized geometry

Results
ΔH_f (0 K): -98 meV per atom
crystal system: monoclinic

a = 4.4117 Å, b = 3.6732 Å, c = 5.9581 Å
α = 70.94°, β = 90.00°, γ = 90.00°
Last column: nearest neighbours and their distance in Å.
Sites, in units of the cell vectors:
Pb1 0.5000 0.7834 0.8126  5 Au 2.90-3.01
Au1 0.0000 0.1965 0.9696  2 Au 2.88, 4 Pb 2.99-3.01, 3 Cd 3.09-3.17
Au2 0.5000 0.0427 0.2979  2 Au 2.88, 1 Pb 2.90, 4 Cd 2.95
Cd1 0.0000 0.4774 0.4200  7 Au 2.95-3.17


Compound: CaTl2Au9
Source: Alexandria via LeMat-Bulk
Functional: PBE
Structure: optimized geometry

Results
ΔH_f (0 K): -199 meV per atom
crystal system: trigonal

a = 5.6342 Å, b = 5.6342 Å, c = 10.0172 Å
α = 73.67°, β = 73.67°, γ = 60.00°
Last column: nearest neighbours and their distance in Å.
Sites, in units of the cell vectors:
Ca1 0.0000 0.0000 0.0000  6 Au 3.25
Tl1 0.8565 0.8565 0.4306  12 Au 3.31-3.46, 3 Tl 3.51
Tl2 0.1435 0.1435 0.5694  12 Au 3.31-3.46, 3 Tl 3.51
Au1 0.6673 0.6673 0.9980  6 Au 2.83-2.87
Au2 0.3327 0.3327 0.0020  6 Au 2.83-2.87
Au3 0.5000 0.5000 0.5000  6 Au 2.90
Au4 0.4171 0.4171 0.2473  7 Au 2.81-2.90
Au5 0.9186 0.4171 0.2473  7 Au 2.81-2.90
Au6 0.4171 0.9186 0.2473  7 Au 2.81-2.90
Au7 0.5829 0.5829 0.7527  7 Au 2.81-2.90
Au8 0.5829 0.0814 0.7527  7 Au 2.81-2.90
Au9 0.0814 0.5829 0.7527  7 Au 2.81-2.90


Compound: Pm2Ni3P4Au
Source: Alexandria via LeMat-Bulk
Functional: PBE
Structure: optimized geometry

Results
ΔH_f (0 K): -853 meV per atom
crystal system: tetragonal

a = 4.1265 Å, b = 4.1265 Å, c = 9.3931 Å
α = 90.00°, β = 90.00°, γ = 90.00°
Last column: nearest neighbours and their distance in Å.
Sites, in units of the cell vectors:
Pm1 0.5000 0.0000 0.2383  8 P 3.04-3.11, 7 Ni 3.16-3.26, 2 Au 3.21
Pm2 0.0000 0.5000 0.7617  8 P 3.04-3.11, 7 Ni 3.16-3.26, 2 Au 3.21
Ni1 0.0000 0.0000 0.5000  4 P 2.49
Ni2 0.5000 0.0000 0.8915  5 P 2.29-2.30
Ni3 0.0000 0.5000 0.1085  5 P 2.29-2.30
P1 0.5000 0.5000 0.0000  4 Ni 2.30
P2 0.0000 0.0000 0.0000  4 Ni 2.30
P3 0.5000 0.0000 0.6477  3 Ni 2.29-2.49, 2 Au 2.49
P4 0.0000 0.5000 0.3523  3 Ni 2.29-2.49, 2 Au 2.49
Au1 0.5000 0.5000 0.5000  4 P 2.49


E per entry: -4.399, -2.893, -3.218, -6.029 eV/atom